No. 1
{
  "formula": "RbGa2H2",
  "functional": "GGA-PBE",
  "state": "relaxed",
  "cell": [[8.1865, 0.0000, 0.0000], [0.0000, 8.1865, 0.0000], [0.0000, 0.0000, 3.0261]],
  "species": ["Rb", "Rb", "Ga", "Ga", "Ga", "Ga", "H", "H", "H", "H"],
  "fractional_positions": [[0.0000, 0.0000, 0.0000], [0.5000, 0.5000, 0.0000], [0.1140, 0.3860, 0.5000], [0.3860, 0.8860, 0.5000], [0.6140, 0.1140, 0.5000], [0.8860, 0.6140, 0.5000], [0.0887, 0.5887, 0.0000], [0.4113, 0.0887, 0.0000], [0.5887, 0.9113, 0.0000], [0.9113, 0.4113, 0.0000]],
  "e_above_lowest_polymorph_mev_per_atom": 183,
  "total_magnetization_mub_per_fu": 0.00,
  "volume_a3_per_atom": 20.280
}

=====

No. 2
{
  "formula": "Rb2GaH",
  "functional": "GGA-PBE",
  "state": "relaxed",
  "cell": [[-4.1801, 4.1801, 4.6476], [4.1801, -4.1801, 4.6476], [4.1801, 4.1801, -4.6476]],
  "species": ["Rb", "Rb", "Rb", "Rb", "Ga", "Ga", "H", "H"],
  "fractional_positions": [[0.0312, 0.1250, 0.4062], [0.3750, 0.9688, 0.0938], [0.7188, 0.6250, 0.5938], [0.8750, 0.2812, 0.9062], [0.2500, 0.7500, 0.5000], [0.5000, 0.5000, 0.0000], [0.0000, 0.0000, 0.0000], [0.7500, 0.2500, 0.5000]],
  "total_magnetization_mub_per_fu": 1.04,
  "energy_ev_per_cell": -14.6,
  "volume_a3_per_atom": 40.606
}

=====

No. 3
{
  "formula": "RbGaH3",
  "functional": "GGA-PBE",
  "state": "relaxed",
  "cell": [[4.9347, 0.0000, 0.0000], [0.0000, 4.9347, 0.0000], [0.0000, 0.0000, 4.9347]],
  "species": ["Rb", "Ga", "H", "H", "H"],
  "fractional_positions": [[0.0000, 0.0000, 0.0000], [0.5000, 0.5000, 0.5000], [0.0000, 0.0000, 0.5000], [0.0000, 0.5000, 0.0000], [0.5000, 0.0000, 0.0000]],
  "e_above_lowest_polymorph_mev_per_atom": 1174,
  "total_magnetization_mub_per_fu": 1.00,
  "volume_a3_per_atom": 24.033
}